# PBE LaZr2CrH, optimized geometry
data_LaZr2CrH
_chemical_formula_sum 'La1 Zr2 Cr1 H1'
_cell_length_a 5.238
_cell_length_b 5.238
_cell_length_c 4.425
_cell_angle_alpha 90.00
_cell_angle_beta 90.00
_cell_angle_gamma 90.00
_space_group_name_H-M_alt 'P 4/m m m'
_space_group_IT_number 123
_space_group_name_Hall '-P 4 2'
loop_
_atom_site_label
_atom_site_type_symbol
_atom_site_fract_x
_atom_site_fract_y
_atom_site_fract_z
La1 La 0.000 0.000 0.000
Zr1 Zr 0.000 0.500 0.000
Cr1 Cr 0.000 0.000 0.500
H1 H 0.500 0.500 0.500
# Calculated total energy (eV for the cell shown): -24.9
# Density of states at the Fermi level (states/eV/f.u.): 5.8
# Magnetic moment (μB/f.u.): 1.7
# Crystal system: tetragonal